Here is a geometry-optimized MnP2WO structure from Alexandria via LeMat-Bulk. Energies are from PBE+U.

Cell lengths 4.726, 4.726, 3.574 Å; angles 90.00, 90.00, 90.00 degrees
Space group P4/mmm (No. 123)
Asymmetric unit:
1 Mn 0.000 0.000 0.000 (multiplicity 1)
2 P 0.000 0.500 0.000 (multiplicity 2)
3 W 0.500 0.500 0.500 (multiplicity 1)
4 O 0.000 0.000 0.500 (multiplicity 1)

## Properties
ρ   6.59 g/cm³
Magnetic moment   5.42 μB per formula unit
Electronic total energy   -5.687 eV per atom
Energy above the lowest structure with this stoichiometry   512 meV per atom